Record 1
Material: CsCd3In
Method: DFT, PBE-GGA
State: relaxed

a = 6.779 Å, b = 9.849 Å, c = 10.363 Å
α = 108.13°, β = 90.00°, γ = 90.00°
Fractional positions:
1 Cd 0.451 0.346 0.932
2 Cs 0.944 0.378 0.798
3 Cd 0.933 0.804 0.878
4 Cs 0.556 0.378 0.298
5 Cd 0.067 0.196 0.122
6 In 0.185 0.910 0.545
7 Cd 0.049 0.346 0.432
8 In 0.815 0.090 0.455
9 Cd 0.433 0.196 0.622
10 Cd 0.549 0.654 0.068
11 Cd 0.951 0.654 0.568
12 Cd 0.252 0.054 0.334
13 Cd 0.748 0.946 0.666
14 Cd 0.752 0.946 0.166
15 Cs 0.444 0.622 0.702
16 Cd 0.248 0.054 0.834
17 In 0.315 0.910 0.045
18 Cd 0.567 0.804 0.378
19 In 0.685 0.090 0.955
20 Cs 0.056 0.622 0.202

formation energy from the elements: -18 kJ/mol of formula units
ΔE to the lowest computed polymorph: 0.000 eV/atom
final energy: -1.305 eV/atom



Record 2
Material: CsCd2In2
Method: DFT, PBE-GGA
State: relaxed

a = 5.023 Å, b = 5.023 Å, c = 7.481 Å
α = 70.39°, β = 70.39°, γ = 90.00°
Fractional positions:
1 Cd 0.384 0.384 0.232
2 Cs 0.000 0.000 0.000
3 In 0.250 0.750 0.500
4 In 0.750 0.250 0.500
5 Cd 0.616 0.616 0.768

formation energy from the elements: -27 kJ/mol of formula units
ΔE to the lowest computed polymorph: 0.000 eV/atom
final energy: -1.688 eV/atom



Record 3
Material: Cs3Cd8In2
Method: DFT, PBE-GGA
State: relaxed

a = 7.715 Å, b = 7.715 Å, c = 10.976 Å
α = 80.16°, β = 80.16°, γ = 53.76°
Fractional positions:
1 Cd 0.878 0.304 0.553
2 Cd 0.714 0.714 0.107
3 Cd 0.696 0.122 0.447
4 Cs 0.752 0.752 0.756
5 Cd 0.266 0.266 0.598
6 Cs 0.248 0.248 0.244
7 Cd 0.286 0.286 0.893
8 Cd 0.734 0.734 0.402
9 In 0.541 0.541 0.314
10 Cd 0.304 0.878 0.553
11 In 0.459 0.459 0.686
12 Cd 0.122 0.696 0.447
13 Cs 0.000 0.000 0.000

formation energy from the elements: -20 kJ/mol of formula units
final energy: -1.197 eV/atom



Record 4
Material: Cs6CdIn
Method: DFT, PBE-GGA
State: relaxed

a = 11.483 Å, b = 11.483 Å, c = 5.191 Å
α = 90.00°, β = 90.00°, γ = 93.98°
Fractional positions:
1 Cs 0.331 0.669 0.000
2 Cs 0.481 0.219 0.000
3 Cs 0.053 0.947 0.500
4 Cd 0.843 0.157 0.000
5 In 0.762 0.238 0.500
6 Cs 0.091 0.341 0.500
7 Cs 0.781 0.519 0.000
8 Cs 0.659 0.909 0.500

formation energy from the elements: -8 kJ/mol of formula units
final energy: -1.108 eV/atom



Record 5
Material: CsCdIn6
Method: DFT, PBE-GGA
State: relaxed

a = 5.266 Å, b = 5.266 Å, c = 11.398 Å
α = 76.64°, β = 76.64°, γ = 60.00°
Fractional positions:
1 In 0.264 0.264 0.208
2 In 0.635 0.635 0.094
3 In 0.910 0.910 0.271
4 In 0.365 0.365 0.906
5 In 0.736 0.736 0.792
6 Cs 0.500 0.500 0.500
7 Cd 0.000 0.000 0.000
8 In 0.090 0.090 0.729

formation energy from the elements: -29 kJ/mol of formula units
ΔE to the lowest computed polymorph: 0.036 eV/atom
final energy: -2.312 eV/atom



Record 6
Material: Cs3CdIn
Method: DFT, PBE-GGA
State: relaxed

a = 7.477 Å, b = 7.477 Å, c = 7.477 Å
α = 90.00°, β = 90.00°, γ = 90.00°
Fractional positions:
1 Cs 0.500 0.000 0.000
2 Cd 0.500 0.500 0.500
3 Cs 0.000 0.000 0.500
4 In 0.000 0.000 0.000
5 Cs 0.000 0.500 0.000

formation energy from the elements: 86 kJ/mol of formula units
ΔE to the lowest computed polymorph: 0.162 eV/atom
final energy: -1.064 eV/atom



Record 7
Material: Cs2Cd2In
Method: DFT, PBE-GGA
State: relaxed

a = 8.076 Å, b = 8.076 Å, c = 6.411 Å
α = 90.00°, β = 90.00°, γ = 90.00°
Fractional positions:
1 Cd 0.637 0.137 0.000
2 In 0.000 0.000 0.000
3 In 0.500 0.500 0.000
4 Cd 0.137 0.363 0.000
5 Cs 0.679 0.821 0.500
6 Cd 0.863 0.637 0.000
7 Cs 0.321 0.179 0.500
8 Cs 0.179 0.679 0.500
9 Cs 0.821 0.321 0.500
10 Cd 0.363 0.863 0.000

formation energy from the elements: 11 kJ/mol of formula units
ΔE to the lowest computed polymorph: 0.089 eV/atom
final energy: -1.231 eV/atom



Record 8
Material: CsCd3In4
Method: DFT, PBE-GGA
State: relaxed

a = 5.069 Å, b = 5.069 Å, c = 9.673 Å
α = 90.00°, β = 90.00°, γ = 90.00°
Fractional positions:
1 In 0.000 0.500 0.169
2 In 0.500 0.000 0.831
3 In 0.500 0.000 0.169
4 Cs 0.000 0.000 0.500
5 Cd 0.500 0.500 0.652
6 In 0.000 0.500 0.831
7 Cd 0.500 0.500 0.348
8 Cd 0.000 0.000 0.000

formation energy from the elements: -31 kJ/mol of formula units
final energy: -1.859 eV/atom